Computed, not measured: a geometry-optimized AcPm12Nd6 structure at the PBE level of DFT.

Cell and atoms, written as CIF:
```
data_AcPm12Nd6
_symmetry_space_group_name_H-M 'P 1'
_symmetry_Int_Tables_number 1
_cell_length_a 8.9742
_cell_length_b 8.9742
_cell_length_c 8.9742
_cell_angle_alpha 99.39
_cell_angle_beta 99.39
_cell_angle_gamma 99.39
loop_
_symmetry_equiv_pos_as_xyz
'x,y,z'
loop_
_atom_site_label
_atom_site_fract_x
_atom_site_fract_y
_atom_site_fract_z
_atom_site_occupancy
Pm1 0.5000 0.7592 0.2408 1
Pm2 0.2408 0.7592 0.5000 1
Pm3 0.6446 0.6446 0.9186 1
Pm4 0.7592 0.2408 0.5000 1
Pm5 0.7592 0.5000 0.2408 1
Pm6 0.3554 0.0814 0.3554 1
Pm7 0.9186 0.6446 0.6446 1
Pm8 0.2408 0.5000 0.7592 1
Pm9 0.5000 0.2408 0.7592 1
Pm10 0.6446 0.9186 0.6446 1
Pm11 0.3554 0.3554 0.0814 1
Pm12 0.0814 0.3554 0.3554 1
Nd1 0.6548 0.0995 0.0995 1
Nd2 0.0995 0.0995 0.6548 1
Nd3 0.9005 0.9005 0.3452 1
Nd4 0.3452 0.9005 0.9005 1
Nd5 0.0995 0.6548 0.0995 1
Nd6 0.9005 0.3452 0.9005 1
Ac1 0.0000 0.0000 0.0000 1
```

Energy above the most stable polymorph in this dataset = 94 kJ/mol of formula units
ΔE_f = 0.187 eV/atom

=====

Computed, not measured: a geometry-optimized Tl2AgSn structure at the PBE level of DFT.

Cell and atoms, written as CIF:
```
data_Tl2AgSn
_symmetry_space_group_name_H-M 'P 1'
_symmetry_Int_Tables_number 1
_cell_length_a 4.4099
_cell_length_b 4.4099
_cell_length_c 11.7502
_cell_angle_alpha 79.18
_cell_angle_beta 79.18
_cell_angle_gamma 90.00
loop_
_symmetry_equiv_pos_as_xyz
'x,y,z'
loop_
_atom_site_label
_atom_site_fract_x
_atom_site_fract_y
_atom_site_fract_z
_atom_site_occupancy
Tl1 0.6179 0.1250 0.2500 1
Tl2 0.3750 0.3821 0.7500 1
Tl3 0.8750 0.8679 0.7500 1
Tl4 0.1321 0.6250 0.2500 1
Sn1 0.7500 0.2500 0.5000 1
Sn2 0.0000 0.0000 0.0000 1
Ag1 0.2500 0.7500 0.5000 1
Ag2 0.5000 0.5000 0.0000 1
```

Energy above the most stable polymorph in this dataset = 25 kJ/mol of formula units
ΔE_f = 0.183 eV/atom

=====

Computed, not measured: a geometry-optimized Li2AcZnO4 structure at the PBE level of DFT.

Cell and atoms, written as CIF:
```
data_Li2AcZnO4
_symmetry_space_group_name_H-M 'P 1'
_symmetry_Int_Tables_number 1
_cell_length_a 5.4421
_cell_length_b 5.1439
_cell_length_c 5.1439
_cell_angle_alpha 83.10
_cell_angle_beta 58.06
_cell_angle_gamma 58.06
loop_
_symmetry_equiv_pos_as_xyz
'x,y,z'
loop_
_atom_site_label
_atom_site_fract_x
_atom_site_fract_y
_atom_site_fract_z
_atom_site_occupancy
O1 0.9998 0.8734 0.5481 1
O2 0.0002 0.4519 0.1266 1
O3 0.4214 0.1266 0.4519 1
O4 0.5786 0.5481 0.8734 1
Li1 0.5000 0.7499 0.2501 1
Li2 0.5000 0.2501 0.7499 1
Zn1 0.0000 0.5000 0.5000 1
Ac1 0.0000 0.0000 0.0000 1
```

Energy relative to the elements, uncorrected = -1994.2 meV/atom

=====

Computed, not measured: a geometry-optimized PrSiHPd2 structure at the PBE level of DFT.

Cell and atoms, written as CIF:
```
data_PrSiHPd2
_symmetry_space_group_name_H-M 'P 1'
_symmetry_Int_Tables_number 1
_cell_length_a 3.9523
_cell_length_b 5.8412
_cell_length_c 7.2897
_cell_angle_alpha 90.00
_cell_angle_beta 90.00
_cell_angle_gamma 109.77
loop_
_symmetry_equiv_pos_as_xyz
'x,y,z'
loop_
_atom_site_label
_atom_site_fract_x
_atom_site_fract_y
_atom_site_fract_z
_atom_site_occupancy
Pd1 0.8359 0.6719 0.4434 1
Pd2 0.8359 0.6719 0.0566 1
Pd3 0.1641 0.3281 0.5566 1
Pd4 0.1641 0.3281 0.9434 1
H1 0.0000 0.0000 0.5000 1
H2 0.0000 0.0000 0.0000 1
Pr1 0.5568 0.1136 0.2500 1
Pr2 0.4432 0.8864 0.7500 1
Si1 0.2746 0.5491 0.2500 1
Si2 0.7254 0.4509 0.7500 1
```

E = -5.593 eV/atom

=====

Computed, not measured: a geometry-optimized CeZrTlIn structure at the PBE level of DFT.

Cell and atoms, written as CIF:
```
data_CeZrTlIn
_symmetry_space_group_name_H-M 'P 1'
_symmetry_Int_Tables_number 1
_cell_length_a 5.2683
_cell_length_b 5.2683
_cell_length_c 5.2683
_cell_angle_alpha 60.00
_cell_angle_beta 60.00
_cell_angle_gamma 60.00
loop_
_symmetry_equiv_pos_as_xyz
'x,y,z'
loop_
_atom_site_label
_atom_site_fract_x
_atom_site_fract_y
_atom_site_fract_z
_atom_site_occupancy
Ce1 0.7500 0.7500 0.7500 1
Zr1 0.2500 0.2500 0.2500 1
In1 0.0000 0.0000 0.0000 1
Tl1 0.5000 0.5000 0.5000 1
```

ΔE_f = -0.140 eV/atom

=====

Computed, not measured: a geometry-optimized NaLi4P2 structure at the PBE level of DFT.

Cell and atoms, written as CIF:
```
data_NaLi4P2
_symmetry_space_group_name_H-M 'P 1'
_symmetry_Int_Tables_number 1
_cell_length_a 4.2907
_cell_length_b 4.2907
_cell_length_c 7.6778
_cell_angle_alpha 73.77
_cell_angle_beta 73.77
_cell_angle_gamma 60.00
loop_
_symmetry_equiv_pos_as_xyz
'x,y,z'
loop_
_atom_site_label
_atom_site_fract_x
_atom_site_fract_y
_atom_site_fract_z
_atom_site_occupancy
P1 0.7510 0.7510 0.7471 1
P2 0.2490 0.2490 0.2529 1
Li1 0.4057 0.4057 0.7828 1
Li2 0.8678 0.8678 0.3966 1
Li3 0.1322 0.1322 0.6034 1
Li4 0.5943 0.5943 0.2172 1
Na1 0.0000 0.0000 0.0000 1
```

Energy above the most stable polymorph in this dataset = 0 kJ/mol of formula units
ΔE_f = -0.506 eV/atom

=====

What did the second record say?
Computed, not measured: a geometry-optimized Tl2AgSn structure at the PBE level of DFT.

Cell and atoms, written as CIF:
```
data_Tl2AgSn
_symmetry_space_group_name_H-M 'P 1'
_symmetry_Int_Tables_number 1
_cell_length_a 4.4099
_cell_length_b 4.4099
_cell_length_c 11.7502
_cell_angle_alpha 79.18
_cell_angle_beta 79.18
_cell_angle_gamma 90.00
loop_
_symmetry_equiv_pos_as_xyz
'x,y,z'
loop_
_atom_site_label
_atom_site_fract_x
_atom_site_fract_y
_atom_site_fract_z
_atom_site_occupancy
Tl1 0.6179 0.1250 0.2500 1
Tl2 0.3750 0.3821 0.7500 1
Tl3 0.8750 0.8679 0.7500 1
Tl4 0.1321 0.6250 0.2500 1
Sn1 0.7500 0.2500 0.5000 1
Sn2 0.0000 0.0000 0.0000 1
Ag1 0.2500 0.7500 0.5000 1
Ag2 0.5000 0.5000 0.0000 1
```

Energy above the most stable polymorph in this dataset = 25 kJ/mol of formula units
ΔE_f = 0.183 eV/atom